This record from the Alexandria database describes an optimized crystal structure of NaLiB2Mo. The functional is GGA-PBE.

Unit cell a=4.4320 b=4.7457 c=4.4320 alpha=90.00 beta=90.00 gamma=90.00
Closest atoms and distances in Å follow each position.
Positions (direct):
Mo 0.0000 0.5000 0.0000  2 Na 2.37
B 0.5000 0.0000 0.0000  2 Na 2.22
B 0.0000 0.0000 0.5000  2 Na 2.22
Na 0.0000 0.0000 0.0000  4 B 2.22, 2 Mo 2.37
Li 0.5000 0.5000 0.5000  4 Mo 3.13, 8 B 3.25

calculated total energy	-2.889	eV/atom
theoretical density	2.63	g cm⁻³
energy of formation from the pure elements	2.5948	eV per atom